The following is a DFT calculation (GGA-PBE) of crystalline MgAgBr2 at its relaxed geometry.

Geometry as POSCAR:
```
MgAgBr2
1.0
-0.422 3.462 2.127
-6.539 -0.849 0.084
0.309 -2.045 3.389
Ag Br Mg
1 2 1
Cartesian
-3.115 -1.447 1.736
0.000 0.000 0.000
-3.480 1.307 1.106
-0.056 0.709 2.758
```

## Properties
Offset from the most stable computed form (meV/atom): 362.6
Calculated total energy (eV per cell): -9.2

The following is a DFT calculation (GGA-PBE) of crystalline MgAg2Br at its relaxed geometry.

Geometry as POSCAR:
```
MgAg2Br
1.0
-2.885 0.443 -1.872
-0.164 -3.668 -0.614
-4.062 -0.867 6.055
Ag Br Mg
2 1 1
Cartesian
-4.059 -0.879 6.048
-2.242 -1.772 -0.175
-2.231 -2.248 2.906
-4.755 -2.329 3.564
```

## Properties
Offset from the most stable computed form (meV/atom): 9.7
Calculated total energy (eV per cell): -10.0

The following is a DFT calculation (GGA-PBE) of crystalline MgAg2Br at its relaxed geometry.

Geometry as POSCAR:
```
MgAg2Br
1.0
3.322 0.012 0.000
-0.014 3.322 0.000
0.000 0.000 8.414
Ag Br Mg
2 1 1
Cartesian
0.000 0.000 8.278
1.654 1.667 1.479
0.000 0.000 4.838
1.654 1.667 6.440
```

## Properties
Offset from the most stable computed form (meV/atom): 47.0
Calculated total energy (eV per cell): -9.9

The following is a DFT calculation (GGA-PBE) of crystalline Mg3Ag2Br8 at its relaxed geometry.

Geometry as POSCAR:
```
Mg3Ag2Br8
1.0
-1.556 6.656 -1.457
-6.753 -2.399 -3.743
0.506 -0.672 8.250
Mg Ag Br
3 2 8
Cartesian
-0.778 3.328 -0.728
-5.081 -1.805 -2.816
-1.672 -0.594 -0.927
-4.896 2.163 -1.285
-2.908 1.422 4.335
-3.437 3.904 3.700
-4.367 -0.318 -0.650
-6.787 2.346 2.009
-1.017 1.239 1.041
-3.337 4.127 -0.512
-7.083 2.796 -2.589
-0.721 0.789 5.639
-4.467 -0.541 3.562
```

## Properties
Calculated total energy (eV per cell): -38.2

The following is a DFT calculation (GGA-PBE) of crystalline Mg2Ag2Br at its relaxed geometry.

Geometry as POSCAR:
```
Mg2Ag2Br
1.0
7.975 0.000 0.000
0.000 7.975 0.000
0.000 0.000 3.475
Mg Br Ag
4 2 4
Cartesian
2.584 6.571 0.000
6.571 5.391 0.000
5.391 1.404 0.000
1.404 2.584 0.000
0.000 0.000 0.000
3.987 3.987 0.000
0.977 4.964 1.738
4.964 6.998 1.738
6.998 3.011 1.738
3.011 0.977 1.738
```

## Properties
Offset from the most stable computed form (meV/atom): 1.8
Calculated total energy (eV per cell): -23.0

The following is a DFT calculation (GGA-PBE) of crystalline MgAgBr2 at its relaxed geometry.

Geometry as POSCAR:
```
MgAgBr2
1.0
2.364 0.000 8.472
-1.182 2.047 8.472
-1.182 -2.047 8.472
Mg Br Ag
1 2 1
Cartesian
0.000 0.000 0.000
0.000 0.000 22.828
0.000 0.000 2.588
0.000 0.000 12.708
```

## Properties
Offset from the most stable computed form (meV/atom): 351.1
Calculated total energy (eV per cell): -9.3

The following is a DFT calculation (GGA-PBE) of crystalline MgAgBr2 at its relaxed geometry.

Geometry as POSCAR:
```
MgAgBr2
1.0
-2.662 9.604 0.610
-4.781 8.203 3.091
0.869 4.851 3.481
Ag Br Mg
1 2 1
Cartesian
-0.498 3.687 1.657
0.115 5.833 3.392
-5.392 18.861 6.048
-3.218 10.456 3.157
```

## Properties
Offset from the most stable computed form (meV/atom): 100.7
Calculated total energy (eV per cell): -10.3

The following is a DFT calculation (GGA-PBE) of crystalline Mg3Ag5Br12 at its relaxed geometry.

Geometry as POSCAR:
```
Mg3Ag5Br12
1.0
-3.287 -13.708 -5.279
6.911 -1.273 13.311
-12.697 7.909 1.675
Mg Ag Br
12 20 48
Cartesian
-1.461 -9.770 1.242
0.720 -11.961 5.574
-3.985 -1.153 9.051
-4.719 -0.620 0.972
-5.186 -10.176 -2.536
-0.087 -3.959 6.759
-8.985 -3.113 2.949
-3.887 3.104 12.244
-4.354 -6.452 8.735
-5.088 -5.920 0.657
-9.793 4.888 4.134
-7.612 2.697 8.465
-0.994 -0.214 4.751
3.455 -0.637 6.656
0.000 0.000 0.000
-1.092 -4.470 1.558
-7.992 -2.899 -1.802
1.812 -7.491 4.016
0.011 0.297 9.952
-12.711 -3.520 -0.830
-2.907 -8.111 4.989
-9.891 0.632 0.941
0.819 -7.704 8.767
-4.536 -3.536 4.854
-1.643 -6.854 -2.639
-6.349 3.954 0.837
-6.166 1.039 4.719
3.638 -3.553 10.537
-2.893 3.318 7.493
-9.084 -7.370 -0.244
-7.981 -2.602 8.150
-8.079 -6.859 4.957
-13.507 -1.093 0.552
-1.865 -2.947 5.202
-2.364 2.337 4.970
-2.820 -5.570 -0.501
-5.326 -2.112 7.079
2.817 0.160 9.218
-1.964 -1.754 10.520
-2.501 -1.143 -0.216
-10.353 -4.203 -2.380
-0.701 -8.167 3.101
-3.527 -9.875 2.767
-9.713 -4.932 8.090
-2.397 0.759 8.395
-11.139 2.699 4.161
-1.699 -11.684 6.395
-9.190 -2.162 0.570
-3.903 -12.364 -2.950
0.526 -6.390 6.194
-7.206 -8.886 -3.465
0.871 -1.588 6.501
-11.999 2.285 -0.182
-4.373 -5.927 6.219
-3.028 -8.475 7.867
-0.804 -12.036 0.223
-4.700 -1.145 3.488
-6.045 1.403 1.840
-8.268 4.964 9.485
-1.867 1.814 13.172
2.926 -9.357 9.890
-9.944 -5.484 3.206
-9.599 -0.682 3.513
0.117 -4.911 9.137
-5.170 5.292 12.657
-7.373 4.611 3.313
-6.676 -7.831 1.312
0.641 -2.140 1.617
2.066 -9.771 5.546
1.280 -2.869 12.088
-8.372 1.094 6.606
-5.546 2.802 6.941
-6.572 -5.929 9.923
-7.109 -5.318 -0.812
-6.253 -1.503 10.208
-11.890 -7.233 0.490
-3.746 -4.961 2.628
-6.709 -9.409 4.737
-7.208 -4.125 4.505
4.434 -5.979 9.155
```

## Properties
Calculated total energy (eV per cell): -210.4